1.
## RbTl2InI4 (PBE-GGA)

Data for a relaxed structure of RbTl2InI4.

a = 8.784 Å, b = 5.073 Å, c = 8.786 Å
α = 90.00°, β = 109.43°, γ = 90.00°
Fractional coordinates of all 8 atoms:
Rb 0.000 0.000 0.000
Tl 0.500 0.000 0.500
Tl 0.500 0.500 0.000
In 0.000 0.500 0.500
I 0.251 0.000 0.744
I 0.256 0.500 0.258
I 0.744 0.500 0.742
I 0.749 0.000 0.256

Summary:
Crystal system: monoclinic
SG: P2/m
Magnetic moment in μB/cell: 0.0
ΔE_f (raw) in eV/atom: -0.816

***

2.
## PmY3S6 (PBE-GGA)

Data for a relaxed structure of PmY3S6.

a = 11.092 Å, b = 3.989 Å, c = 11.364 Å
α = 90.00°, β = 108.69°, γ = 90.00°
Fractional coordinates of all 20 atoms:
Pm 0.047 0.250 0.193
Pm 0.953 0.750 0.807
Y 0.161 0.250 0.585
Y 0.319 0.750 0.998
Y 0.437 0.250 0.332
Y 0.563 0.750 0.668
Y 0.681 0.250 0.002
Y 0.839 0.750 0.415
S 0.082 0.750 0.404
S 0.115 0.250 0.963
S 0.194 0.750 0.749
S 0.260 0.750 0.226
S 0.397 0.250 0.561
S 0.478 0.250 0.112
S 0.522 0.750 0.888
S 0.603 0.750 0.439
S 0.740 0.250 0.774
S 0.806 0.250 0.251
S 0.885 0.750 0.037
S 0.918 0.250 0.596

Summary:
Crystal system: monoclinic
SG: P2_1/m
Magnetic moment in μB/cell: 0.0
ΔE_f (raw) in eV/atom: -2.088

***

3.
## Tl3VSe4 (PBE-GGA)

Data for a relaxed structure of Tl3VSe4.

a = 9.210 Å, b = 9.412 Å, c = 6.519 Å
α = 90.00°, β = 90.00°, γ = 90.00°
Fractional coordinates of all 16 atoms:
Tl 0.000 0.113 0.000
Tl 0.202 0.335 0.490
Tl 0.298 0.665 0.990
Tl 0.500 0.887 0.500
Tl 0.702 0.665 0.990
Tl 0.798 0.335 0.490
V 0.000 0.795 0.632
V 0.500 0.205 0.132
Se 0.000 0.029 0.539
Se 0.000 0.790 0.987
Se 0.210 0.681 0.528
Se 0.290 0.319 0.028
Se 0.500 0.210 0.487
Se 0.500 0.971 0.039
Se 0.710 0.319 0.028
Se 0.790 0.681 0.528

Summary:
Crystal system: orthorhombic
SG: Pmn2_1
Magnetic moment in μB/cell: 0.0
ΔE_f (raw) in eV/atom: -0.509

***

4.
## NaSrLi14 (PBE-GGA)

Data for a relaxed structure of NaSrLi14.

a = 10.267 Å, b = 6.387 Å, c = 6.387 Å
α = 65.65°, β = 90.00°, γ = 90.00°
Fractional coordinates of all 16 atoms:
Na 0.000 0.000 0.000
Sr 0.000 0.548 0.548
Li 0.000 0.066 0.482
Li 0.000 0.482 0.066
Li 0.249 0.811 0.811
Li 0.264 0.326 0.326
Li 0.277 0.305 0.844
Li 0.277 0.844 0.305
Li 0.500 0.104 0.636
Li 0.500 0.135 0.135
Li 0.500 0.611 0.611
Li 0.500 0.636 0.104
Li 0.723 0.305 0.844
Li 0.723 0.844 0.305
Li 0.736 0.326 0.326
Li 0.751 0.811 0.811

Summary:
Formation energy from the elements in eV per atom: 0.06
Crystal system: orthorhombic
SG: Amm2
Magnetic moment in μB/cell: 0.0

***

5.
## CeScBr (PBE-GGA)

Data for a relaxed structure of CeScBr.

a = 3.496 Å, b = 3.496 Å, c = 7.387 Å
α = 90.00°, β = 90.00°, γ = 120.00°
Fractional coordinates of all 3 atoms:
Ce 0.000 0.000 0.000
Sc 0.667 0.333 0.363
Br 0.333 0.667 0.639

Summary:
Crystal system: trigonal
SG: P3m1
Magnetic moment in μB/cell: 1.3
ΔE_f (raw) in eV/atom: -0.606

***

6.
## SrLa2Hg (PBE-GGA)

Data for a relaxed structure of SrLa2Hg.

a = 11.734 Å, b = 11.734 Å, c = 11.734 Å
α = 19.31°, β = 19.31°, γ = 19.31°
Fractional coordinates of all 4 atoms:
Sr 0.000 0.000 0.000
La 0.570 0.570 0.570
La 0.765 0.765 0.765
Hg 0.168 0.168 0.168

Summary:
Formation energy from the elements in eV per atom: -0.08
Crystal system: trigonal
SG: R3m
Magnetic moment in μB/cell: 0.0

***

- Look up the magnetic moment of the fourth one.
  0.0 μB/cell

***

- magnetic moment of number 4 (NaSrLi14)?
  0.0 μB/cell